5
Lattice="4.649 0.000 0.000 0.000 4.649 0.000 0.000 0.000 5.019" Properties=species:S:1:pos:R:3 comment="CaReS2Cl (PBE, optimized geometry)" formation_energy_uncorrected_ev_per_atom=-0.517 magmom_total_mub_per_cell=0.97 space_group="P4/mmm, No. 123" final_energy_ev_per_atom=-5.427 rho_g_cm3=5.0 pbc="T T T"
Ca 0.000 0.000 0.000
Re 2.324 2.324 2.510
S 0.000 2.324 2.510
S 2.324 0.000 2.510
Cl 2.324 2.324 0.000